1.
## NbV2InB (PBE-GGA)

Data for an optimized crystal structure of NbV2InB.

Summary:
ΔE_f: 1.91 eV per atom
Final energy: -28.16 eV per cell

abc: 4.846 4.846 3.918
angles: 90.00 90.00 90.00
Positions (direct):
Nb 0.000 0.000 0.000
V 0.000 0.500 0.500
V 0.500 0.000 0.500
In 0.500 0.500 0.500
B 0.500 0.500 0.000

---

2.
## Zr2NbInB (PBE-GGA)

Data for an optimized crystal structure of Zr2NbInB.

Summary:
ΔE_f: -0.31 eV per atom
Final energy: -38.12 eV per cell
ΔE to the lowest computed polymorph: 0.000 eV/atom

abc: 4.672 4.672 4.422
angles: 90.00 90.00 90.00
Positions (direct):
Zr 0.000 0.500 0.000
Zr 0.500 0.000 0.000
Nb 0.000 0.000 0.500
In 0.500 0.500 0.500
B 0.000 0.000 0.000

---

3.
## Zr2NbInB (PBE-GGA)

Data for an optimized crystal structure of Zr2NbInB.

Summary:
ΔE_f: 2.13 eV per atom
Final energy: -25.93 eV per cell
ΔE to the lowest computed polymorph: 2.438 eV/atom

abc: 5.214 5.214 5.031
angles: 90.00 90.00 90.00
Positions (direct):
Zr 0.000 0.500 0.000
Zr 0.500 0.000 0.000
Nb 0.000 0.000 0.500
In 0.000 0.000 0.000
B 0.500 0.500 0.500

---

4.
## Nd2In2BPt4 (PBE-GGA)

Data for an optimized crystal structure of Nd2In2BPt4.

Summary:
ΔE_f: -0.41 eV per atom
Final energy: -49.56 eV per cell

abc: 6.323 6.323 6.323
angles: 117.35 117.35 94.65
Positions (direct):
Nd 0.197 0.197 0.000
Nd 0.803 0.803 0.000
In 0.250 0.750 0.500
In 0.750 0.250 0.500
B 0.500 0.500 0.000
Pt 0.273 0.273 0.547
Pt 0.273 0.727 0.000
Pt 0.727 0.273 0.000
Pt 0.727 0.727 0.453